This record from Alexandria via LeMat-Bulk describes an optimized crystal structure of SbAs4Pt. The functional is PBEsol.

## Properties
M_tot (μB per atom): 0.000
SG: F-43m (216)
Formation energy without anion corrections (eV per formula unit): 3.458

abc: 5.477 5.477 5.477
angles: 60.00 60.00 60.00
Positions (direct):
Sb 0.000 0.000 0.000
As 0.377 0.377 0.377
As 0.377 0.377 0.870
As 0.870 0.377 0.377
As 0.377 0.870 0.377
Pt 0.750 0.750 0.750